ScBe2GeMo | PBE-GGA | relaxed

Summary:
- Uncorrected energy: -24.5 eV per cell
- Calculated volume: 86.1 Å³ per cell
- E_form: 91 kJ per mole of atoms
- Total moment: 2.0 μB per formula unit

Cell: 4.1550 4.1550 4.9893 Å, 90.00 90.00 90.00°
Closest atoms and distances in Å follow each position.
Space group P4/mmm (No. 123)
One atom of each set of equivalent atoms:
Sc (0.0000, 0.0000, 0.0000) x1  2 Ge 2.49
Be (0.0000, 0.5000, 0.5000) x2  2 Ge 2.08
Ge (0.0000, 0.0000, 0.5000) x1  4 Be 2.08
Mo (0.5000, 0.5000, 0.0000) x1  4 Sc 2.94, 8 Be 3.25